PBE-GGA YMgZn5Pd2, relaxed; symmetry = P4/mmm (123); density = 6.383 Mg/m³; formation energy = -0.21 eV/atom
1.0
4.700 0.000 0.000
0.000 4.700 0.000
0.000 0.000 7.691
Y Mg Zn Pd
1 1 5 2
Cartesian
0.000 0.000 3.845
0.000 0.000 0.000
0.000 2.350 1.978
2.350 0.000 1.978
0.000 2.350 5.712
2.350 0.000 5.712
2.350 2.350 3.845
2.350 2.350 1.295
2.350 2.350 6.396